Computed, not measured: crystalline Sm2NiGe6 at its relaxed geometry at the PBE-GGA level of DFT.

Summary:
Electronic total energy ... -0.3883 Ry/atom
Polymorph energy (0 for the lowest one) ... 0 meV/atom

The structure in CIF format:
```
data_Sm2NiGe6
_cell_length_a 4.1142
_cell_length_b 4.0406
_cell_length_c 21.6993
_cell_angle_alpha 90.00
_cell_angle_beta 90.00
_cell_angle_gamma 90.00
_space_group_name_H-M_alt 'A m m 2'
_space_group_IT_number 38
loop_
_space_group_symop_operation_xyz
'x,y,z'
'-x,-y,z'
'-x,y,z'
'x,-y,z'
'x,y+1/2,z+1/2'
'-x,-y+1/2,z+1/2'
'-x,y+1/2,z+1/2'
'x,-y+1/2,z+1/2'
loop_
_atom_site_label
_atom_site_type_symbol
_atom_site_fract_x
_atom_site_fract_y
_atom_site_fract_z
_atom_site_occupancy
Sm1 Sm 0.0000 0.0000 0.0000 1
Sm2 Sm 0.0000 0.0000 0.3348 1
Ni1 Ni 0.5000 0.0000 0.7765 1
Ge1 Ge 0.0000 0.0000 0.6060 1
Ge2 Ge 0.0000 0.0000 0.7210 1
Ge3 Ge 0.5000 0.0000 0.1047 1
Ge4 Ge 0.5000 0.0000 0.2203 1
Ge5 Ge 0.5000 0.0000 0.4573 1
Ge6 Ge 0.5000 0.0000 0.8842 1
```